[1]
The following is a PBE-GGA calculation of Cd3IO3 after structural relaxation, from Alexandria via LeMat-Bulk.

Unit cell a=6.5272 b=6.5272 c=25.0162 alpha=90.00 beta=90.00 gamma=120.00
Space group R-3 (No. 148, hexagonal axes)
Asymmetric unit:
Cd (0.0031, 0.3414, 0.3852) (multiplicity 18)
I (0.0000, 0.0000, 0.1675) (multiplicity 6)
O (0.0029, 0.3279, 0.6202) (multiplicity 18)

E_form (uncorrected), eV/atom: -0.686
D(E_F), states/eV per cell: 50.46

=====

[2]
The following is a PBE-GGA calculation of SmGeAu after structural relaxation, from Alexandria via LeMat-Bulk.

Unit cell a=3.534 b=3.534 c=10.696 alpha=90.00 beta=90.00 gamma=90.00
Space group I4mm (No. 107)
Asymmetric unit:
Sm (0.000, 0.000, 0.000) (multiplicity 2)
Ge (0.000, 0.000, 0.310) (multiplicity 2)
Au (0.000, 0.000, 0.674) (multiplicity 2)

DFT formation energy, eV per atom: -0.470
D(E_F), states/eV per cell: 5.10

=====

[3]
The following is a PBE-GGA calculation of Rb3TaMn3Se8 after structural relaxation, from Alexandria via LeMat-Bulk.

Unit cell a=13.303 b=7.736 c=9.209 alpha=90.00 beta=118.91 gamma=90.00
Space group C2/m (No. 12)
Asymmetric unit:
Rb (0.000, 0.000, 0.000) (multiplicity 2)
Rb (0.250, 0.250, 0.000) (multiplicity 4)
Ta (0.000, 0.000, 0.500) (multiplicity 2)
Mn (0.000, 0.500, 0.500) (multiplicity 2)
Mn (0.250, 0.250, 0.500) (multiplicity 4)
Se (0.024, 0.246, 0.323) (multiplicity 8)
Se (0.223, 0.000, 0.678) (multiplicity 4)
Se (0.223, 0.500, 0.668) (multiplicity 4)

E_form (uncorrected), eV/atom: -0.734
D(E_F), states/eV per cell: 12.51

=====

V for every record listed, in sequence, given in Å³ per cell: 923, 134, 830.